No. 1
4
Lattice="5.544 0.000 0.000 2.772 4.802 0.000 2.772 1.601 4.527" Properties=species:S:1:pos:R:3 comment="Sr2MgZn PBE optimized geometry" m_tot_mub_per_fu=0.0 dos_at_fermi_per_ev_cell=1.87 spacegroup=F-43m de_polymorph_mev_per_atom=184 formation_enthalpy_0k_kj_per_mol_fu=25 dft_energy_ev_per_atom=-1.49 pbc="T T T"
Sr 0.000 0.000 0.000
Sr 2.772 1.601 1.132
Zn 8.317 4.802 3.395
Mg 5.544 3.201 2.264


No. 2
18
Lattice="-1.373 -0.147 -3.388 -6.015 -1.688 4.485 -2.392 9.953 0.538" Properties=species:S:1:pos:R:3 comment="Sr2BiPdO5 PBE optimized geometry" m_tot_mub_per_fu=0.0 dos_at_fermi_per_ev_cell=3.78 spacegroup=Cmc2_1 formation_energy_uncorrected_ev_per_atom=-1.5851 dft_energy_ev_per_atom=-5.72 pbc="T T T"
O -7.214 8.582 2.551
O -5.164 2.728 1.974
O -5.179 5.439 1.862
O -7.486 4.104 0.879
O -1.402 0.305 0.555
O -3.715 4.317 -0.657
O -5.267 8.099 -0.192
O -7.266 0.869 2.906
O -2.575 7.501 -1.257
O -4.087 0.542 -0.343
Pd -3.071 -0.569 1.269
Pd -5.621 4.159 0.121
Bi -7.299 3.053 2.825
Bi -3.533 9.441 -0.953
Sr -2.722 2.475 0.996
Sr -3.181 6.413 1.011
Sr -6.288 0.412 0.554
Sr -7.304 6.669 0.695


No. 3
5
Lattice="-3.823 1.028 -0.800 -1.134 -1.402 3.614 0.674 3.829 1.697" Properties=species:S:1:pos:R:3 comment="NbTcO2F PBE optimized geometry" m_tot_mub_per_fu=3.5 dos_at_fermi_per_ev_cell=2.31 spacegroup=P4/mmm formation_energy_uncorrected_ev_per_atom=-1.0377 dft_energy_ev_per_atom=-7.48 pbc="T T T"
O -1.912 0.514 -0.400
O -0.567 -0.701 1.807
Nb 0.000 0.000 0.000
Tc -2.141 1.727 2.256
F 0.337 1.914 0.849


No. 4
30
Lattice="7.103 -12.302 0.000 7.103 12.302 0.000 0.000 0.000 6.821" Properties=species:S:1:pos:R:3 comment="KTiI3 PBE optimized geometry" m_tot_mub_per_fu=2.0 dos_at_fermi_per_ev_cell=30.35 spacegroup=P6_3 formation_energy_uncorrected_ev_per_atom=-0.9661 dft_energy_ev_per_atom=-3.69 pbc="T T T"
K 4.305 -0.018 2.303
K 9.240 8.565 5.714
K 4.965 -8.565 2.303
K 2.168 3.720 5.714
K 12.037 -3.720 2.303
K 9.900 0.018 5.714
I 5.231 -2.871 0.393
I 13.006 2.049 5.627
I 11.831 -0.014 2.216
I 6.974 -6.336 0.393
I 4.935 -5.205 3.801
I 5.102 3.095 3.803
I 5.927 10.239 5.627
I 2.374 0.014 5.627
I 1.199 -2.049 2.216
I 9.270 5.205 0.391
I 7.231 6.336 3.803
I 5.062 5.425 0.391
I 6.975 1.671 0.391
I 9.103 -3.095 0.393
I 8.974 2.871 3.803
I 8.278 -10.239 2.216
I 7.230 -1.671 3.801
I 9.143 -5.425 3.801
Ti 7.103 4.101 1.910
Ti 0.000 0.000 3.924
Ti 7.103 4.101 5.691
Ti 7.103 -4.101 2.281
Ti 7.103 -4.101 5.320
Ti 0.000 0.000 0.513


No. 5
3
Lattice="3.510 0.000 0.000 0.000 3.510 0.000 -1.755 -1.755 7.305" Properties=species:S:1:pos:R:3 comment="NdErSc PBE optimized geometry" m_tot_mub_per_fu=0.0 dos_at_fermi_per_ev_cell=4.84 spacegroup=I4mm de_polymorph_mev_per_atom=0 formation_enthalpy_0k_kj_per_mol_fu=15 dft_energy_ev_per_atom=-5.17 pbc="T T T"
Sc 1.755 1.755 2.465
Er 0.000 0.000 4.773
Nd 0.000 0.000 0.067


No. 6
8
Lattice="5.273 0.000 0.000 2.636 4.566 0.000 2.636 1.522 11.100" Properties=species:S:1:pos:R:3 comment="CsNaHg4Bi2 PBE optimized geometry" m_tot_mub_per_fu=0.0 dos_at_fermi_per_ev_cell=1.62 spacegroup=R-3m formation_enthalpy_0k_kj_per_mol_fu=-142 dft_energy_ev_per_atom=-1.58 pbc="T T T"
Hg 2.636 1.522 6.822
Hg 7.909 4.566 4.278
Hg 5.273 3.044 8.908
Hg 5.273 3.044 2.192
Bi 7.909 4.566 7.672
Bi 2.636 1.522 3.428
Cs 0.000 0.000 0.000
Na 5.273 3.044 5.550


No. 7
6
Lattice="4.707 0.003 0.005 -2.275 4.153 -0.003 -0.440 -1.724 4.958" Properties=species:S:1:pos:R:3 comment="AgPH PBE optimized geometry" m_tot_mub_per_fu=0.0 dos_at_fermi_per_ev_cell=0.20 spacegroup=P-1 de_polymorph_mev_per_atom=0 dft_energy_ev_per_atom=-3.79 pbc="T T T"
H 2.796 3.019 0.412
H -0.804 -0.587 4.549
Ag -0.720 2.233 3.317
Ag 2.713 0.199 1.643
P 1.680 2.333 0.995
P 0.313 0.099 3.966


No. 8
4
Lattice="1.511 -3.368 3.204 -3.223 -3.068 2.024 0.011 -4.727 -1.245" Properties=species:S:1:pos:R:3 comment="RbAsPt2 PBE optimized geometry" m_tot_mub_per_fu=0.0 dos_at_fermi_per_ev_cell=3.22 spacegroup=Fm-3m de_polymorph_mev_per_atom=1010 formation_enthalpy_0k_kj_per_mol_fu=237 dft_energy_ev_per_atom=-3.81 pbc="T T T"
Pt -1.276 -8.372 2.987
Pt -0.425 -2.791 0.996
Rb -0.851 -5.581 1.992
As 0.000 0.000 0.000


No. 9
4
Lattice="-3.598 -2.075 -1.052 -0.419 -1.719 -3.902 1.561 -7.534 0.798" Properties=species:S:1:pos:R:3 comment="Pr2AgPt PBE optimized geometry" m_tot_mub_per_fu=0.0 dos_at_fermi_per_ev_cell=2.55 spacegroup=R3m formation_enthalpy_0k_kj_per_mol_fu=-232 dft_energy_ev_per_atom=-5.21 pbc="T T T"
Pt -2.665 -2.556 -3.292
Pr -0.709 -2.627 -1.119
Pr 0.931 -6.173 0.267
Ag -1.241 -5.636 -2.089


No. 10
12
Lattice="6.234 0.001 0.003 -3.115 5.400 0.003 -1.045 -1.810 11.673" Properties=species:S:1:pos:R:3 comment="Nd3Y6HoTh2 PBE optimized geometry" m_tot_mub_per_fu=0.0 dos_at_fermi_per_ev_cell=16.22 spacegroup=C2/m formation_enthalpy_0k_kj_per_mol_fu=20 dft_energy_ev_per_atom=-6.02 pbc="T T T"
Nd 4.157 -0.006 5.839
Nd 1.037 1.796 5.839
Nd -2.083 3.597 5.839
Y -0.027 3.593 8.823
Y 0.009 0.015 8.815
Y 2.065 3.576 2.863
Y -1.052 1.819 2.856
Y 3.126 1.772 8.823
Y 2.101 -0.002 2.856
Ho 0.000 0.000 0.000
Th 0.003 3.600 0.003
Th 3.117 1.801 0.003


No. 11
12
Lattice="4.045 0.000 0.000 0.000 6.891 0.000 0.000 0.000 17.326" Properties=species:S:1:pos:R:3 comment="KTi PBE optimized geometry" m_tot_mub_per_fu=0.0 dos_at_fermi_per_ev_cell=13.93 spacegroup=Pmmn de_polymorph_mev_per_atom=258 formation_enthalpy_0k_kj_per_mol_fu=182 dft_energy_ev_per_atom=-3.55 pbc="T T T"
Ti 2.023 4.101 0.000
Ti 0.000 4.598 1.333
Ti 2.023 2.293 7.330
Ti 0.000 2.790 8.663
Ti 0.000 4.598 15.993
Ti 2.023 2.293 9.996
K 2.023 5.948 8.663
K 0.000 5.119 12.067
K 0.000 0.943 0.000
K 0.000 5.119 5.259
K 2.023 1.772 3.404
K 2.023 1.772 13.922


No. 12
20
Lattice="6.725 0.000 -0.074 0.000 6.982 0.000 -0.045 0.000 9.615" Properties=species:S:1:pos:R:3 comment="Sr2UNiS6 PBE optimized geometry" m_tot_mub_per_fu=2.0 spacegroup=P2_1/c formation_energy_uncorrected_ev_per_atom=-1.3371 dft_energy_ev_per_atom=-5.86 pbc="T T T"
S 1.306 1.473 0.375
S 1.380 1.374 4.416
S 4.720 2.117 9.187
S 3.882 0.065 2.450
S 0.496 3.426 7.295
S 5.300 5.608 5.125
S 1.960 4.865 0.354
S 2.798 6.917 7.090
S 5.374 5.509 9.166
S 4.646 2.018 5.146
S 6.183 3.556 2.246
S 2.034 4.964 4.395
Ni 0.000 3.491 0.000
Ni 3.340 0.000 4.770
Sr 0.123 6.508 2.363
Sr 3.463 3.965 7.133
Sr 6.557 0.474 7.178
Sr 3.217 3.017 2.408
U 3.362 0.000 -0.037
U -0.023 3.491 4.808